Material: AsRh2Cl
Method: DFT, GGA-PBE
State: relaxed

POSCAR file:
```
AsRh2Cl
1.0
4.086 0.000 0.000
0.000 3.512 -0.152
0.000 0.727 5.850
Cl Rh As
1 2 1
Cartesian
2.043 3.478 4.801
0.000 3.256 0.365
2.043 1.547 1.035
0.000 1.591 2.195
```

Results
Distance to the lowest polymorph of the same formula   0.149 eV/atom
Formation energy from raw total energies   -0.054 eV/atom
E   -5.354 eV per atom
Crystal system   monoclinic